1.
HgN | GGA-PBE | optimized geometry

**Formation energy from raw total energies**: 2.920 eV/f.u.
**Raw total energy**: -2.8533 eV/atom
**Relative energy among the computed polymorphs**: 1409 meV per atom

Lattice parameters (Å, degrees): 4.267 10.775 4.410 90.00 90.00 90.00
Fractional positions:
1 Hg 0.250 0.088 0.204
2 Hg 0.250 0.412 0.204
3 Hg 0.250 0.750 0.301
4 Hg 0.750 0.250 0.699
5 Hg 0.750 0.588 0.796
6 Hg 0.750 0.912 0.796
7 N 0.250 0.250 0.495
8 N 0.250 0.579 0.932
9 N 0.250 0.921 0.932
10 N 0.750 0.079 0.068
11 N 0.750 0.421 0.068
12 N 0.750 0.750 0.505


2.
CdMo2P | GGA-PBE | optimized geometry

**Raw total energy**: -6.4211 eV/atom
**Relative energy among the computed polymorphs**: 578 meV per atom
**ΔE_f**: 0.576 eV per atom

Lattice parameters (Å, degrees): 4.522 4.522 4.522 60.00 60.00 60.00
Fractional positions:
1 Cd 0.000 0.000 0.000
2 Mo 0.500 0.500 0.500
3 Mo 0.750 0.750 0.750
4 P 0.250 0.250 0.250


3.
Yb2AlNi2 | GGA-PBE | optimized geometry

**Raw total energy**: -4.1379 eV/atom
**ΔE_f**: -0.466 eV per atom

Lattice parameters (Å, degrees): 5.509 5.509 5.509 136.79 121.60 75.36
Fractional positions:
1 Yb 0.199 0.199 0.000
2 Yb 0.801 0.801 0.000
3 Al 0.500 0.000 0.500
4 Ni 0.241 0.500 0.741
5 Ni 0.759 0.500 0.259


4.
ZnGa3 | GGA-PBE | optimized geometry

**Raw total energy**: -2.5745 eV/atom
**ΔE_f**: 0.014 eV per atom

Lattice parameters (Å, degrees): 2.871 2.871 8.633 90.00 90.00 90.00
Fractional positions:
1 Zn 0.000 0.000 0.000
2 Ga 0.000 0.000 0.500
3 Ga 0.500 0.500 0.233
4 Ga 0.500 0.500 0.767


5.
YHf2CdH | GGA-PBE | optimized geometry

**Raw total energy**: -6.2149 eV/atom

Lattice parameters (Å, degrees): 4.502 4.502 4.712 90.00 90.00 90.00
Fractional positions:
1 Y 0.000 0.000 0.000
2 Hf 0.000 0.500 0.500
3 Hf 0.500 0.000 0.500
4 Cd 0.500 0.500 0.000
5 H 0.000 0.000 0.500


6.
Ni3W5 | GGA-PBE | optimized geometry

**Raw total energy**: -10.1435 eV/atom
**Relative energy among the computed polymorphs**: 0 meV per atom
**ΔE_f**: 0.120 eV per atom

Lattice parameters (Å, degrees): 5.506 5.506 3.761 90.00 90.00 91.91
Fractional positions:
1 Ni 0.000 0.000 0.000
2 Ni 0.245 0.245 0.500
3 Ni 0.755 0.755 0.500
4 W 0.000 0.500 0.000
5 W 0.236 0.764 0.500
6 W 0.500 0.000 0.000
7 W 0.500 0.500 0.000
8 W 0.764 0.236 0.500


7.
Pm6SbP2Se3 | GGA-PBE | optimized geometry

**Formation energy from raw total energies**: -20.195 eV/f.u.
**Raw total energy**: -6.1746 eV/atom

Lattice parameters (Å, degrees): 9.480 9.480 8.515 103.14 103.14 25.66
Fractional positions:
1 Pm 0.008 0.008 0.263
2 Pm 0.328 0.328 0.427
3 Pm 0.328 0.328 0.895
4 Pm 0.672 0.672 0.105
5 Pm 0.672 0.672 0.573
6 Pm 0.992 0.992 0.737
7 Sb 0.500 0.500 0.000
8 P 0.168 0.168 0.336
9 P 0.832 0.832 0.664
10 Se 0.163 0.163 0.833
11 Se 0.500 0.500 0.500
12 Se 0.837 0.837 0.167